Entry 1:
# HfNbCd PBE relaxed
# Formation enthalpy at 0 K ... 0.59 eV per atom
# Density of states at the Fermi level ... 0.8007 states/eV/atom
# Final energy ... -19.16 eV/f.u.
data_HfNbCd
_cell_length_a 4.7518
_cell_length_b 4.7518
_cell_length_c 20.8671
_cell_angle_alpha 90.00
_cell_angle_beta 90.00
_cell_angle_gamma 120.00
_space_group_name_H-M_alt 'R -3 m'
_space_group_IT_number 166
_space_group_name_Hall '-R 3 2"'
loop_
_atom_site_label
_atom_site_type_symbol
_atom_site_fract_x
_atom_site_fract_y
_atom_site_fract_z
_atom_site_occupancy
Hf1 Hf 0.0000 0.0000 0.0732 1
Nb1 Nb 0.0000 0.0000 0.1965 1
Cd1 Cd 0.0000 0.0000 0.3549 1


Entry 2:
# TiBe2TlSb PBE relaxed
# ΔE_f (raw) ... 85 kJ/mol of atoms
# Density of states at the Fermi level ... 0.7317 states/eV/atom
# Final energy ... -17.43 eV/f.u.
data_TiBe2TlSb
_cell_length_a 4.9045
_cell_length_b 4.9045
_cell_length_c 5.1776
_cell_angle_alpha 90.00
_cell_angle_beta 90.00
_cell_angle_gamma 90.00
_space_group_name_H-M_alt 'P 4/m m m'
_space_group_IT_number 123
_space_group_name_Hall '-P 4 2'
loop_
_atom_site_label
_atom_site_type_symbol
_atom_site_fract_x
_atom_site_fract_y
_atom_site_fract_z
_atom_site_occupancy
Ti1 Ti 0.0000 0.0000 0.0000 1
Be1 Be 0.0000 0.5000 0.0000 1
Tl1 Tl 0.5000 0.5000 0.5000 1
Sb1 Sb 0.0000 0.0000 0.5000 1


Entry 3:
# CaAcLa2Se4 PBE relaxed
# ΔE_f (raw) ... -187 kJ/mol of atoms
# Density of states at the Fermi level ... 0.5227 states/eV/atom
# Final energy ... -45.42 eV/f.u.
data_CaAcLa2Se4
_cell_length_a 7.5224
_cell_length_b 4.3108
_cell_length_c 7.5249
_cell_angle_alpha 90.00
_cell_angle_beta 109.08
_cell_angle_gamma 90.00
_space_group_name_H-M_alt 'P 1 2/m 1'
_space_group_IT_number 10
loop_
_space_group_symop_operation_xyz
'x,y,z'
'-x,-y,-z'
'-x,y,-z'
'x,-y,z'
loop_
_atom_site_label
_atom_site_type_symbol
_atom_site_fract_x
_atom_site_fract_y
_atom_site_fract_z
_atom_site_occupancy
Ca1 Ca 0.0000 0.0000 0.0000 1
Ac1 Ac 0.5000 0.5000 0.0000 1
La1 La 0.0000 0.5000 0.5000 1
La2 La 0.5000 0.0000 0.5000 1
Se1 Se 0.2386 0.0000 0.7484 1
Se2 Se 0.2390 0.5000 0.2453 1


Entry 4:
# TbPrPd PBE relaxed
# Formation enthalpy at 0 K ... -0.40 eV per atom
# Density of states at the Fermi level ... 1.1872 states/eV/atom
# Final energy ... -15.79 eV/f.u.
data_TbPrPd
_cell_length_a 7.0709
_cell_length_b 7.0709
_cell_length_c 7.0709
_cell_angle_alpha 90.00
_cell_angle_beta 90.00
_cell_angle_gamma 90.00
_space_group_name_H-M_alt 'F -4 3 m'
_space_group_IT_number 216
_space_group_name_Hall 'F -4 2 3'
loop_
_atom_site_label
_atom_site_type_symbol
_atom_site_fract_x
_atom_site_fract_y
_atom_site_fract_z
_atom_site_occupancy
Tb1 Tb 0.0000 0.0000 0.0000 1
Pr1 Pr 0.0000 0.0000 0.5000 1
Pd1 Pd 0.2500 0.2500 0.2500 1


Entry 5:
# ZnIr2Cl PBE relaxed
# ΔE_f (raw) ... 82 kJ/mol of atoms
# Density of states at the Fermi level ... 1.0586 states/eV/atom
# Final energy ... -17.45 eV/f.u.
data_ZnIr2Cl
_cell_length_a 6.1996
_cell_length_b 6.1996
_cell_length_c 6.1996
_cell_angle_alpha 90.00
_cell_angle_beta 90.00
_cell_angle_gamma 90.00
_space_group_name_H-M_alt 'F m -3 m'
_space_group_IT_number 225
_space_group_name_Hall '-F 4 2 3'
loop_
_atom_site_label
_atom_site_type_symbol
_atom_site_fract_x
_atom_site_fract_y
_atom_site_fract_z
_atom_site_occupancy
Zn1 Zn 0.0000 0.0000 0.0000 1
Ir1 Ir 0.2500 0.2500 0.2500 1
Cl1 Cl 0.0000 0.0000 0.5000 1


Entry 6:
# CsRbNa2Cl4 PBE relaxed
# ΔE_f (raw) ... -176 kJ/mol of atoms
# Density of states at the Fermi level ... 0.0000 states/eV/atom
# Final energy ... -26.46 eV/f.u.
data_CsRbNa2Cl4
_cell_length_a 7.6367
_cell_length_b 4.4010
_cell_length_c 7.8290
_cell_angle_alpha 90.00
_cell_angle_beta 109.04
_cell_angle_gamma 90.00
_space_group_name_H-M_alt 'P 1 2/m 1'
_space_group_IT_number 10
loop_
_space_group_symop_operation_xyz
'x,y,z'
'-x,-y,-z'
'-x,y,-z'
'x,-y,z'
loop_
_atom_site_label
_atom_site_type_symbol
_atom_site_fract_x
_atom_site_fract_y
_atom_site_fract_z
_atom_site_occupancy
Cs1 Cs 0.0000 0.0000 0.0000 1
Rb1 Rb 0.5000 0.5000 0.0000 1
Na1 Na 0.0000 0.5000 0.5000 1
Na2 Na 0.5000 0.0000 0.5000 1
Cl1 Cl 0.2423 0.0000 0.7090 1
Cl2 Cl 0.2730 0.5000 0.2985 1


Entry 7:
# Ta2CuAgCl PBE relaxed
# ΔE_f (raw) ... 116 kJ/mol of atoms
# Density of states at the Fermi level ... 0.7287 states/eV/atom
# Final energy ... -26.47 eV/f.u.
data_Ta2CuAgCl
_cell_length_a 4.4772
_cell_length_b 4.4772
_cell_length_c 4.8155
_cell_angle_alpha 90.00
_cell_angle_beta 90.00
_cell_angle_gamma 90.00
_space_group_name_H-M_alt 'P 4/m m m'
_space_group_IT_number 123
_space_group_name_Hall '-P 4 2'
loop_
_atom_site_label
_atom_site_type_symbol
_atom_site_fract_x
_atom_site_fract_y
_atom_site_fract_z
_atom_site_occupancy
Ta1 Ta 0.0000 0.5000 0.0000 1
Cu1 Cu 0.0000 0.0000 0.5000 1
Ag1 Ag 0.5000 0.5000 0.5000 1
Cl1 Cl 0.5000 0.5000 0.0000 1


Entry 8:
# Sm7Mg5 PBE relaxed
# Formation enthalpy at 0 K ... -0.01 eV per atom
# Density of states at the Fermi level ... 1.0682 states/eV/atom
# Final energy ... -41.10 eV/f.u.
data_Sm7Mg5
_cell_length_a 11.9256
_cell_length_b 5.4161
_cell_length_c 10.9758
_cell_angle_alpha 90.00
_cell_angle_beta 90.15
_cell_angle_gamma 90.00
_space_group_name_H-M_alt 'C 1 2/m 1'
_space_group_IT_number 12
loop_
_space_group_symop_operation_xyz
'x,y,z'
'-x,-y,-z'
'-x,y,-z'
'x,-y,z'
'x+1/2,y+1/2,z'
'-x+1/2,-y+1/2,-z'
'-x+1/2,y+1/2,-z'
'x+1/2,-y+1/2,z'
loop_
_atom_site_label
_atom_site_type_symbol
_atom_site_fract_x
_atom_site_fract_y
_atom_site_fract_z
_atom_site_occupancy
Sm1 Sm 0.0000 0.0000 0.0000 1
Sm2 Sm 0.0199 0.5000 0.2282 1
Sm3 Sm 0.1548 0.5000 0.5125 1
Sm4 Sm 0.1734 0.0000 0.7493 1
Mg1 Mg 0.0000 0.0000 0.5000 1
Mg2 Mg 0.1571 0.0000 0.2732 1
Mg3 Mg 0.1952 0.5000 0.9656 1